MnCu PBE relaxed; density of states at the Fermi level = 0.78 states/eV per atom; total magnetic moment = 0.000 μB per formula unit; total energy = -6.517 eV per atom; ρ = 8.648 g/cm3
1.0
2.516 0.000 0.000
-1.258 2.179 0.000
0.000 0.000 8.300
Cu Mn
2 2
direct
0.333 0.667 0.255
0.000 0.000 0.995
0.000 0.000 0.514
0.333 0.667 0.736

***

HfSiSn2Bi PBE relaxed; density of states at the Fermi level = 1.32 states/eV per atom; total magnetic moment = 0.000 μB per formula unit; ρ = 5.929 g/cm3; formation energy (no corrections) = 1.411 eV/atom
1.0
5.768 0.000 0.000
0.000 5.498 0.000
0.000 0.000 5.768
Sn Si Bi Hf
2 1 1 1
direct
0.500 0.000 0.000
0.000 0.000 0.500
0.500 0.500 0.500
0.000 0.000 0.000
0.000 0.500 0.000

***

AcLa14Sm PBE relaxed; density of states at the Fermi level = 1.82 states/eV per atom; total magnetic moment = 0.000 μB per formula unit; total energy = -4.832 eV per atom; ρ = 6.448 g/cm3
1.0
7.532 -0.111 0.000
-3.676 6.575 0.000
0.000 0.000 12.174
La Ac Sm
14 1 1
direct
0.333 0.667 0.753
0.667 0.333 0.500
0.835 0.670 0.251
0.835 0.165 0.253
0.168 0.832 0.500
0.164 0.332 0.000
0.330 0.165 0.749
0.333 0.667 0.247
0.835 0.670 0.749
0.835 0.165 0.747
0.668 0.836 0.000
0.330 0.165 0.251
0.169 0.337 0.500
0.663 0.831 0.500
0.667 0.333 0.000
0.165 0.835 0.000

***

NaNbAl2B PBE relaxed; density of states at the Fermi level = 0.94 states/eV per atom; total magnetic moment = 0.000 μB per formula unit; total energy = -3.312 eV per atom; ρ = 3.353 g/cm3
1.0
-4.014 -1.935 -1.287
2.067 -2.685 -2.411
0.291 -2.967 3.553
Al B Na Nb
2 1 1 1
direct
0.000 0.000 0.500
0.500 0.000 0.000
0.000 0.500 0.000
0.000 0.000 0.000
0.500 0.500 0.500

***

Tb3Ce2YSe6 PBE relaxed; density of states at the Fermi level = 1.22 states/eV per atom; total magnetic moment = 1.878 μB per formula unit; ρ = 7.335 g/cm3; formation energy (no corrections) = -1.795 eV/atom
1.0
7.138 -0.007 -0.002
-3.573 6.180 -0.002
-1.191 -2.063 6.777
Tb Ce Se Y
3 2 6 1
direct
0.500 0.500 0.500
0.167 0.833 0.500
0.833 0.167 0.500
0.666 0.334 0.000
0.334 0.666 0.000
0.414 0.085 0.256
0.586 0.915 0.744
0.757 0.757 0.257
0.915 0.586 0.744
0.243 0.243 0.743
0.085 0.414 0.256
0.000 0.000 0.000

***

ThSc2Fe PBE relaxed; density of states at the Fermi level = 0.98 states/eV per atom; energy above the lowest structure with this stoichiometry = 112.0 meV per atom; total magnetic moment = 0.000 μB per formula unit; ρ = 7.202 g/cm3
1.0
-0.514 -3.182 -0.204
1.666 -0.092 -2.766
7.029 -1.409 4.280
Fe Th Sc
1 1 2
direct
0.500 0.500 0.000
0.500 0.500 0.500
0.000 0.000 0.824
0.000 0.000 0.176

***

Repeat the third record exactly.
AcLa14Sm PBE relaxed; density of states at the Fermi level = 1.82 states/eV per atom; total magnetic moment = 0.000 μB per formula unit; total energy = -4.832 eV per atom; ρ = 6.448 g/cm3
1.0
7.532 -0.111 0.000
-3.676 6.575 0.000
0.000 0.000 12.174
La Ac Sm
14 1 1
direct
0.333 0.667 0.753
0.667 0.333 0.500
0.835 0.670 0.251
0.835 0.165 0.253
0.168 0.832 0.500
0.164 0.332 0.000
0.330 0.165 0.749
0.333 0.667 0.247
0.835 0.670 0.749
0.835 0.165 0.747
0.668 0.836 0.000
0.330 0.165 0.251
0.169 0.337 0.500
0.663 0.831 0.500
0.667 0.333 0.000
0.165 0.835 0.000

***

Look up the density of states at the Fermi level of the sixth one.
0.98 states/eV per atom